DFT (PBE with a Hubbard U) results for Ca3ScCr3O8 after structural relaxation.

Lattice parameters (Å, degrees): 6.6001 6.6001 6.3983 118.76 118.76 55.70
Last column: nearest neighbours and their distance in Å.
Atoms (fractional coordinates):
Ca1 0.0000 0.0000 0.0000  4 O 2.37
Ca2 0.0000 0.5000 0.5000  6 O 2.31-2.38
Ca3 0.5000 0.0000 0.5000  6 O 2.31-2.38
Sc1 0.0000 0.0000 0.5000  6 O 2.09-2.17
Cr1 0.0000 0.5000 0.0000  4 O 2.11-2.12
Cr2 0.5000 0.0000 0.0000  4 O 2.11-2.12
Cr3 0.5000 0.5000 0.5000  6 O 2.09-2.24
O1 0.2212 0.2212 0.7504  2 Cr 2.11, 1 Sc 2.17
O2 0.2352 0.7345 0.7045  1 Cr 2.09, 1 Sc 2.09, 1 Ca 2.31
O3 0.2656 0.7648 0.2955  1 Cr 2.09, 1 Sc 2.09, 1 Ca 2.31
O4 0.2723 0.2723 0.2474  3 Cr 2.12-2.24, 2 Ca 2.35
O5 0.7277 0.7277 0.7526  3 Cr 2.12-2.24, 2 Ca 2.35
O6 0.7345 0.2352 0.7045  1 Cr 2.09, 1 Sc 2.09, 1 Ca 2.31
O7 0.7648 0.2656 0.2955  1 Cr 2.09, 1 Sc 2.09, 1 Ca 2.31
O8 0.7788 0.7788 0.2496  2 Cr 2.11, 1 Sc 2.17

Computed properties:
Space-group type = C2/m (12)
DFT total energy = -111.0 eV for the cell shown